! CoCu2Ni | Alexandria via LeMat-Bulk | PBE-GGA | relaxed; values from VASP
&SYSTEM
  ibrav = 0, nat = 4, ntyp = 3
/
ATOMIC_SPECIES
Co 58.93 Co.upf
Cu 63.55 Cu.upf
Ni 58.69 Ni.upf
CELL_PARAMETERS angstrom
-2.721 -7.654 -2.432
-0.392 -7.787 -3.334
-0.844 -8.384 -0.947
ATOMIC_POSITIONS crystal
Co 0.750 0.750 0.750
Cu 0.501 0.501 0.501
Cu 0.999 0.999 0.999
Ni 0.250 0.250 0.250
! DFT formation energy: 0.057 eV/atom
! Fermi-level density of states: 2.7 states/eV/cell